Record 1
Fe2SeBr | GGA-PBE | relaxed

Cell: 4.3173 4.3173 4.3173 Å, 60.00 60.00 60.00°
Atoms (fractional coordinates):
Fe: 0.2500 0.2500 0.2500
Fe: 0.7500 0.7500 0.7500
Se: 0.0000 0.0000 0.0000
Br: 0.5000 0.5000 0.5000

- density of states at the Fermi level (states/eV/f.u.) = 11.5
- distance to the lowest polymorph of the same formula (meV per atom) = 921
- space group = Fm-3m
- uncorrected formation energy (eV per atom) = 0.770

=====

Record 2
LaErCuAu | GGA-PBE | relaxed

Cell: 4.5822 5.9212 5.9212 Å, 37.71 90.00 90.00°
Atoms (fractional coordinates):
La: 0.0000 0.0000 0.0000
Er: 0.5000 0.7232 0.7232
Cu: 0.5000 0.4359 0.4359
Au: 0.0000 0.2781 0.2781

- density of states at the Fermi level (states/eV/f.u.) = 2.9
- distance to the lowest polymorph of the same formula (meV per atom) = 0
- DFT formation energy (meV per atom) = -514
- space group = Amm2

=====

Record 3
CoCuTc2 | GGA-PBE | relaxed

Cell: 4.6224 4.6224 4.5637 Å, 100.03 100.03 33.28°
Atoms (fractional coordinates):
Co: 0.0000 0.0000 0.0000
Cu: 0.5000 0.5000 0.5000
Tc: 0.2574 0.2574 0.7565
Tc: 0.7426 0.7426 0.2435

- density of states at the Fermi level (states/eV/f.u.) = 4.1
- distance to the lowest polymorph of the same formula (meV per atom) = 103
- DFT formation energy (meV per atom) = 228
- space group = C2/m

=====

Record 4
ThCdPdAu | GGA-PBE | relaxed

Cell: 4.9965 4.9965 4.9965 Å, 60.00 60.00 60.00°
Atoms (fractional coordinates):
Th: 0.0000 0.0000 0.0000
Cd: 0.5000 0.5000 0.5000
Pd: 0.7500 0.7500 0.7500
Au: 0.2500 0.2500 0.2500

- density of states at the Fermi level (states/eV/f.u.) = 3.2
- DFT formation energy (meV per atom) = -604
- space group = F-43m

=====

Record 5
ReNiIr | GGA-PBE | relaxed

Cell: 5.7662 5.7662 3.8647 Å, 90.00 90.00 140.66°
Atoms (fractional coordinates):
Re: 0.0842 0.9158 0.7500
Re: 0.9158 0.0842 0.2500
Ni: 0.2525 0.7475 0.2500
Ni: 0.7475 0.2525 0.7500
Ir: 0.4157 0.5843 0.7500
Ir: 0.5843 0.4157 0.2500

- density of states at the Fermi level (states/eV/f.u.) = 3.8
- distance to the lowest polymorph of the same formula (meV per atom) = 120
- DFT formation energy (meV per atom) = -29
- space group = Cmcm

=====

Record 6
SmTl2C2O6 | GGA-PBE | relaxed

Cell: 5.4899 5.4899 8.8455 Å, 114.84 114.84 59.30°
Atoms (fractional coordinates):
Sm: 0.0000 0.0000 0.0000
Tl: 0.1749 0.1749 0.5251
Tl: 0.8251 0.8251 0.4749
C: 0.4144 0.4144 0.1764
C: 0.5856 0.5856 0.8236
O: 0.2756 0.2756 0.1673
O: 0.2805 0.6930 0.1836
O: 0.3070 0.7195 0.8164
O: 0.6930 0.2805 0.1836
O: 0.7195 0.3070 0.8164
O: 0.7244 0.7244 0.8327

- density of states at the Fermi level (states/eV/f.u.) = 1.4
- space group = C2/m
- uncorrected formation energy (eV per atom) = -1.644